A plane-wave DFT calculation with PBE-GGA was carried out for an optimized crystal structure of HfNbBr2. Values from VASP.

Summary:
V = 21.635 A^3/atom
uncorrected formation energy = 510.9 meV per atom
M_tot = 0.000 μB per formula unit
Fermi-level density of states = 2.96 states/eV/f.u.

```
&SYSTEM
  ibrav = 0, nat = 8, ntyp = 3
/
ATOMIC_SPECIES
Nb 92.91 Nb.upf
Hf 178.49 Hf.upf
Br 79.90 Br.upf
CELL_PARAMETERS angstrom
7.4111 0.0000 0.0000
0.0000 7.4111 0.0000
3.7056 3.7056 3.1512
ATOMIC_POSITIONS angstrom
Nb 3.7056 3.7056 0.0000
Nb 3.7056 7.4111 1.5756
Hf 0.0000 0.0000 0.0000
Hf 7.4111 3.7056 1.5756
Br 5.4521 1.8528 0.7878
Br 1.9590 5.5583 0.7878
Br 5.5583 5.6646 2.3634
Br 9.2639 9.1577 2.3634
```